Record 1
A plane-wave DFT calculation with GGA-PBE was carried out for a relaxed structure of VTeHI2.

For the energy above the most stable polymorph in this dataset, the calculation gives 2.41 eV per formula unit. The value obtained for the magnetization is 0.2 μB/f.u. The value obtained for the total DFT energy (no corrections) is -2.8168 eV/atom.

The structure belongs to space group P4/mmm (No. 123); the cell edges are 5.6040, 5.6040 and 3.8602 Å and the angles 90.00°, 90.00° and 90.00°. The distinct sites, in fractional coordinates, are V at (0.0000, 0.0000, 0.0000), Te at (0.5000, 0.5000, 0.0000), H at (0.5000, 0.5000, 0.5000) and I at (0.0000, 0.5000, 0.5000).


Record 2
A plane-wave DFT calculation with GGA-PBE was carried out for a relaxed structure of VTeHI2.

For the energy above the most stable polymorph in this dataset, the calculation gives 0.00 eV per formula unit. The value obtained for the magnetization is 2.4 μB/f.u. The value obtained for the total DFT energy (no corrections) is -3.2979 eV/atom.

The structure belongs to space group P4/mmm (No. 123); the cell edges are 5.6366, 5.6366 and 5.1782 Å and the angles 90.00°, 90.00° and 90.00°. The distinct sites, in fractional coordinates, are V at (0.0000, 0.0000, 0.0000), Te at (0.0000, 0.0000, 0.5000), H at (0.5000, 0.5000, 0.5000) and I at (0.0000, 0.5000, 0.0000).


Record 3
A plane-wave DFT calculation with GGA-PBE was carried out for a relaxed structure of Y2TeH2I.

The value obtained for the magnetization is 0.0 μB/f.u. The value obtained for the total DFT energy (no corrections) is -4.9859 eV/atom.

The structure belongs to space group P-3m1 (No. 164); the cell edges are 3.9279, 3.9279 and 9.2841 Å and the angles 90.00°, 90.00° and 120.00°. The distinct sites, in fractional coordinates, are Y at (0.3333, 0.6667, 0.2251), Te at (0.0000, 0.0000, 0.0000), H at (0.3333, 0.6667, 0.7504) and I at (0.0000, 0.0000, 0.5000).


Record 4
A plane-wave DFT calculation with GGA-PBE was carried out for a relaxed structure of ZnTe2HI.

For the energy above the most stable polymorph in this dataset, the calculation gives 2.07 eV per formula unit. The value obtained for the magnetization is 1.1 μB/f.u. The value obtained for the total DFT energy (no corrections) is -1.7735 eV/atom.

The structure belongs to space group P4/mmm (No. 123); the cell edges are 5.3267, 5.3267 and 5.8184 Å and the angles 90.00°, 90.00° and 90.00°. The distinct sites, in fractional coordinates, are Zn at (0.0000, 0.0000, 0.0000), Te at (0.0000, 0.5000, 0.0000), H at (0.5000, 0.5000, 0.5000) and I at (0.0000, 0.0000, 0.5000).


Record 5
A plane-wave DFT calculation with GGA-PBE was carried out for a relaxed structure of ZnTe2HI.

For the energy above the most stable polymorph in this dataset, the calculation gives 0.00 eV per formula unit. The value obtained for the magnetization is 0.0 μB/f.u. The value obtained for the total DFT energy (no corrections) is -2.1879 eV/atom.

The structure belongs to space group P4/mmm (No. 123); the cell edges are 4.3298, 4.3298 and 7.9647 Å and the angles 90.00°, 90.00° and 90.00°. The distinct sites, in fractional coordinates, are Zn at (0.0000, 0.0000, 0.0000), Te at (0.0000, 0.5000, 0.5000), H at (0.5000, 0.5000, 0.5000) and I at (0.5000, 0.5000, 0.0000).


Record 6
A plane-wave DFT calculation with GGA-PBE was carried out for a relaxed structure of ZrTeHI.

The value obtained for the magnetization is 0.0 μB/f.u. The value obtained for the total DFT energy (no corrections) is -4.9593 eV/atom.

The structure belongs to space group R3m (No. 160, hexagonal axes); the cell edges are 3.7800, 3.7800 and 23.4391 Å and the angles 90.00°, 90.00° and 120.00°. The distinct sites, in fractional coordinates, are Zr at (0.0000, 0.0000, 0.0000), Te at (0.0000, 0.0000, 0.4165), H at (0.0000, 0.0000, 0.6649) and I at (0.0000, 0.0000, 0.2442).


Record 7
A plane-wave DFT calculation with GGA-PBE was carried out for a relaxed structure of ThH2I4.

The value obtained for the magnetization is 0.0 μB/f.u. The value obtained for the total DFT energy (no corrections) is -3.3818 eV/atom.

The structure belongs to space group C2/m (No. 12); the cell edges are 15.9964, 4.7684 and 8.1942 Å and the angles 90.00°, 119.88° and 90.00°. The distinct sites, in fractional coordinates, are Th at (0.0000, 0.0000, 0.0000), H at (0.1393, 0.0000, 0.2650), I at (0.0728, 0.0000, 0.4312) and I at (0.1372, 0.5000, 0.0221).


Record 8
A plane-wave DFT calculation with GGA-PBE was carried out for a relaxed structure of Th2HI5.

The value obtained for the magnetization is 0.7 μB/f.u. The value obtained for the total DFT energy (no corrections) is -4.1553 eV/atom.

The structure belongs to space group Cmcm (No. 63); the cell edges are 3.7748, 16.1019 and 21.4893 Å and the angles 90.00°, 90.00° and 90.00°. The distinct sites, in fractional coordinates, are Th at (0.0000, 0.2438, 0.1665), H at (0.0000, 0.2197, 0.7500), I at (0.0000, 0.1075, 0.6278), I at (0.0000, 0.3471, 0.5703) and I at (0.0000, 0.3912, 0.7500).


- Which value of magnetization does entry 4 give?
  1.1 μB/f.u.